Compound: HfScCr2Bi
Source: Alexandria
Functional: PBE
Structure: optimized geometry

Output
As for the density of states at the Fermi level: 10.436 states/eV per cell. For the calculated volume, the calculation gives 120.0 Å³/cell. The total energy is -31.12 eV/cell. The value obtained for the spin magnetization is 0.00 μB per formula unit.

Cell lengths 4.816, 4.816, 5.172 Å; angles 90.00, 90.00, 90.00 degrees
Sites, in units of the cell vectors:
1 Hf 0.000 0.000 0.000
2 Sc 0.500 0.500 0.000
3 Cr 0.000 0.500 0.500
4 Cr 0.500 0.000 0.500
5 Bi 0.500 0.500 0.500